# 1
Below is crystalline Te4RhBr at its relaxed geometry, with properties calculated at the PBE level.

The calculation puts the energy relative to the elements, uncorrected at -0.1368 eV/atom. The value obtained for the density is 6.19 Mg/m³.

```
Te4RhBr
1.0
6.510 0.000 0.000
-0.059 7.563 0.000
-0.177 -1.090 7.552
Te Rh Br
8 2 2
Direct
0.124 0.019 0.167 Te
0.148 0.491 0.746 Te
0.225 0.032 0.620 Te
0.273 0.531 0.365 Te
0.727 0.469 0.635 Te
0.775 0.968 0.380 Te
0.852 0.509 0.254 Te
0.876 0.981 0.833 Te
0.022 0.266 0.441 Rh
0.978 0.734 0.559 Rh
0.491 0.253 0.056 Br
0.509 0.747 0.944 Br
```

# 2
Below is crystalline Te3RhBr at its relaxed geometry, with properties calculated at the PBE level.

The calculation puts the energy relative to the elements, uncorrected at 1.3369 eV/atom. The value obtained for the density is 5.65 Mg/m³.

```
Te3RhBr
1.0
5.497 0.000 0.000
0.000 5.497 0.000
0.000 0.000 5.497
Te Rh Br
3 1 1
Direct
0.000 0.000 0.500 Te
0.000 0.500 0.000 Te
0.500 0.000 0.000 Te
0.500 0.500 0.500 Rh
0.000 0.000 0.000 Br
```